A:
DFT (PBE-GGA) results for a relaxed BaLa2SnIr crystal.

Calculated values
For the mass density, the calculation gives 6.52 g cm⁻³. The calculation puts the volume at 184.86 Å³/f.u.

The structure in CIF format:
```
data_BaLa2SnIr
_chemical_formula_sum 'Ba1 La2 Sn1 Ir1'
_cell_length_a 5.5552
_cell_length_b 5.5552
_cell_length_c 5.9903
_cell_angle_alpha 90.00
_cell_angle_beta 90.00
_cell_angle_gamma 90.00
_space_group_name_H-M_alt 'P 4/m m m'
_space_group_IT_number 123
_space_group_name_Hall '-P 4 2'
loop_
_atom_site_label
_atom_site_type_symbol
_atom_site_fract_x
_atom_site_fract_y
_atom_site_fract_z
Ba1 Ba 0.0000 0.0000 0.0000
La1 La 0.0000 0.5000 0.5000
Sn1 Sn 0.5000 0.5000 0.0000
Ir1 Ir 0.0000 0.0000 0.5000
```

B:
DFT (PBE-GGA) results for a relaxed BaLa2SnIr crystal.

Calculated values
For the mass density, the calculation gives 6.99 g cm⁻³. The calculation puts the volume at 172.59 Å³/f.u.

The structure in CIF format:
```
data_BaLa2SnIr
_chemical_formula_sum 'Ba1 La2 Sn1 Ir1'
_cell_length_a 5.6461
_cell_length_b 5.6461
_cell_length_c 5.4141
_cell_angle_alpha 90.00
_cell_angle_beta 90.00
_cell_angle_gamma 90.00
_space_group_name_H-M_alt 'P 4/m m m'
_space_group_IT_number 123
_space_group_name_Hall '-P 4 2'
loop_
_atom_site_label
_atom_site_type_symbol
_atom_site_fract_x
_atom_site_fract_y
_atom_site_fract_z
Ba1 Ba 0.0000 0.0000 0.0000
La1 La 0.0000 0.5000 0.5000
Sn1 Sn 0.5000 0.5000 0.0000
Ir1 Ir 0.5000 0.5000 0.5000
```

Stability summary - winner: A; margin: 49 meV/atom.

A:
DFT (PBE-GGA) results for a relaxed BaSr2LaIr crystal.

Calculated values
For the mass density, the calculation gives 5.01 g cm⁻³. The calculation puts the volume at 213.30 Å³/f.u.

The structure in CIF format:
```
data_BaSr2LaIr
_chemical_formula_sum 'Ba1 Sr2 La1 Ir1'
_cell_length_a 5.9209
_cell_length_b 5.9209
_cell_length_c 6.0843
_cell_angle_alpha 90.00
_cell_angle_beta 90.00
_cell_angle_gamma 90.00
_space_group_name_H-M_alt 'P 4/m m m'
_space_group_IT_number 123
_space_group_name_Hall '-P 4 2'
loop_
_atom_site_label
_atom_site_type_symbol
_atom_site_fract_x
_atom_site_fract_y
_atom_site_fract_z
Ba1 Ba 0.0000 0.0000 0.0000
Sr1 Sr 0.0000 0.5000 0.5000
La1 La 0.5000 0.5000 0.0000
Ir1 Ir 0.0000 0.0000 0.5000
```

B:
DFT (PBE-GGA) results for a relaxed BaSr2LaIr crystal.

Calculated values
For the mass density, the calculation gives 5.05 g cm⁻³. The calculation puts the volume at 211.60 Å³/f.u.

The structure in CIF format:
```
data_BaSr2LaIr
_chemical_formula_sum 'Ba1 Sr2 La1 Ir1'
_cell_length_a 6.1638
_cell_length_b 6.1638
_cell_length_c 5.5696
_cell_angle_alpha 90.00
_cell_angle_beta 90.00
_cell_angle_gamma 90.00
_space_group_name_H-M_alt 'P 4/m m m'
_space_group_IT_number 123
_space_group_name_Hall '-P 4 2'
loop_
_atom_site_label
_atom_site_type_symbol
_atom_site_fract_x
_atom_site_fract_y
_atom_site_fract_z
Ba1 Ba 0.0000 0.0000 0.0000
Sr1 Sr 0.0000 0.5000 0.5000
La1 La 0.5000 0.5000 0.0000
Ir1 Ir 0.5000 0.5000 0.5000
```

Stability summary - winner: B; margin: 358 meV/atom.

A:
DFT (PBE-GGA) results for a relaxed BaLa2TlIr crystal.

Calculated values
For the mass density, the calculation gives 7.03 g cm⁻³. The calculation puts the volume at 191.69 Å³/f.u.

The structure in CIF format:
```
data_BaLa2TlIr
_chemical_formula_sum 'Ba1 La2 Tl1 Ir1'
_cell_length_a 5.5704
_cell_length_b 5.5704
_cell_length_c 6.1776
_cell_angle_alpha 90.00
_cell_angle_beta 90.00
_cell_angle_gamma 90.00
_space_group_name_H-M_alt 'P 4/m m m'
_space_group_IT_number 123
_space_group_name_Hall '-P 4 2'
loop_
_atom_site_label
_atom_site_type_symbol
_atom_site_fract_x
_atom_site_fract_y
_atom_site_fract_z
Ba1 Ba 0.0000 0.0000 0.0000
La1 La 0.0000 0.5000 0.5000
Tl1 Tl 0.5000 0.5000 0.0000
Ir1 Ir 0.0000 0.0000 0.5000
```

B:
DFT (PBE-GGA) results for a relaxed BaLa2TlIr crystal.

Calculated values
For the mass density, the calculation gives 7.67 g cm⁻³. The calculation puts the volume at 175.64 Å³/f.u.

The structure in CIF format:
```
data_BaLa2TlIr
_chemical_formula_sum 'Ba1 La2 Tl1 Ir1'
_cell_length_a 5.6440
_cell_length_b 5.6440
_cell_length_c 5.5139
_cell_angle_alpha 90.00
_cell_angle_beta 90.00
_cell_angle_gamma 90.00
_space_group_name_H-M_alt 'P 4/m m m'
_space_group_IT_number 123
_space_group_name_Hall '-P 4 2'
loop_
_atom_site_label
_atom_site_type_symbol
_atom_site_fract_x
_atom_site_fract_y
_atom_site_fract_z
Ba1 Ba 0.0000 0.0000 0.0000
La1 La 0.0000 0.5000 0.5000
Tl1 Tl 0.5000 0.5000 0.0000
Ir1 Ir 0.5000 0.5000 0.5000
```

Stability summary - winner: A; margin: 36 meV/atom.